EuPuMgIn | PBE | optimized geometry

a = 5.4868 Å, b = 5.4868 Å, c = 5.4868 Å
α = 60.00°, β = 60.00°, γ = 60.00°
Atoms (fractional coordinates):
1 Eu 0.5000 0.5000 0.5000
2 Mg 0.2500 0.2500 0.2500
3 In 0.7500 0.7500 0.7500
4 Pu 0.0000 0.0000 0.0000

Results
**Total energy**: -7.298 eV/atom
**D(E_F)**: 20.31 states/eV/f.u.
**M_tot**: 1.15 μB per cell
**E_form**: -0.3 eV per formula unit